NaAl2PdRu | PBE-GGA | optimized geometry Values from VASP.

Structure (Quantum ESPRESSO input):
```
&SYSTEM
  ibrav = 0, nat = 5, ntyp = 4
/
ATOMIC_SPECIES
Al 26.98 Al.upf
Na 22.99 Na.upf
Ru 101.07 Ru.upf
Pd 106.42 Pd.upf
CELL_PARAMETERS angstrom
4.6531 0.0000 0.0000
0.0000 4.8495 0.0000
0.0000 0.0000 4.6531
ATOMIC_POSITIONS crystal
Al 0.5000 0.0000 0.0000
Al 0.0000 0.0000 0.5000
Na 0.0000 0.5000 0.0000
Ru 0.5000 0.5000 0.5000
Pd 0.0000 0.0000 0.0000
```

Summary:
SG   P4/mmm (123)
Mass density   4.5 g/cm3
VASP energy   -19.99 eV for the cell shown
V   105.0 Å³ per cell
DFT formation energy   15.122 kcal/mol of atoms

=====

Ba2IrAu | PBE-GGA | optimized geometry Values from VASP.

Structure (Quantum ESPRESSO input):
```
&SYSTEM
  ibrav = 0, nat = 4, ntyp = 3
/
ATOMIC_SPECIES
Ir 192.22 Ir.upf
Ba 137.33 Ba.upf
Au 196.97 Au.upf
CELL_PARAMETERS angstrom
-3.4988 0.1643 1.5487
-1.2874 -4.8534 -2.3936
1.8599 -2.7073 4.4893
ATOMIC_POSITIONS crystal
Ir 0.5000 0.5000 0.0000
Ba 0.0000 0.0000 0.0000
Ba 0.0000 0.5000 0.5000
Au 0.5000 0.0000 0.5000
```

Summary:
SG   P4/mmm (123)
Polymorph energy (0 for the lowest one)   90 meV per atom
Mass density   9.3 g/cm3
VASP energy   -16.83 eV for the cell shown
V   118.5 Å³ per cell
DFT formation energy   -4.874 kcal/mol of atoms

=====

CePr2AgS5 | PBE-GGA | optimized geometry Values from VASP.

Structure (Quantum ESPRESSO input):
```
&SYSTEM
  ibrav = 0, nat = 18, ntyp = 4
/
ATOMIC_SPECIES
S 32.06 S.upf
Pr 140.91 Pr.upf
Ag 107.87 Ag.upf
Ce 140.12 Ce.upf
CELL_PARAMETERS angstrom
-3.5636 -0.1642 1.8845
1.0536 -7.9927 -3.0230
5.6820 -3.2090 10.4651
ATOMIC_POSITIONS crystal
S 0.4980 0.9961 0.2776
S 0.2940 0.5879 0.6614
S 0.9573 0.9145 0.5852
S 0.6435 0.2871 0.4992
S 0.5020 0.0039 0.7776
S 0.6953 0.3906 0.8383
S 0.3047 0.6093 0.3383
S 0.3565 0.7129 0.9992
S 0.0427 0.0855 0.0852
S 0.7060 0.4121 0.1614
Pr 0.1233 0.2466 0.3028
Pr 0.8767 0.7534 0.8028
Pr 0.8837 0.7673 0.1842
Pr 0.1163 0.2327 0.6842
Ag 0.4816 0.9632 0.4748
Ag 0.5184 0.0368 0.9748
Ce 0.8095 0.6190 0.5004
Ce 0.1905 0.3810 0.0004
```

Summary:
SG   Cmc2_1 (36)
Mass density   5.5 g/cm3
Formation energy from raw total energies   -159.5 kJ/mol of atoms
VASP energy   -107.71 eV for the cell shown
V   416.5 Å³ per cell

=====

Tb6ThSc3 | PBE-GGA | optimized geometry Values from VASP.

Structure (Quantum ESPRESSO input):
```
&SYSTEM
  ibrav = 0, nat = 10, ntyp = 3
/
ATOMIC_SPECIES
Tb 158.93 Tb.upf
Sc 44.96 Sc.upf
Th 232.04 Th.upf
CELL_PARAMETERS angstrom
8.5037 0.0000 4.5127
3.0545 7.9362 4.5127
2.1585 1.4821 6.2010
ATOMIC_POSITIONS crystal
Tb 0.4001 0.7376 0.7997
Tb 0.0626 0.4001 0.7997
Tb 0.9002 0.5607 0.2996
Tb 0.2395 0.9002 0.2996
Tb 0.5607 0.2395 0.2996
Tb 0.7376 0.0626 0.7997
Sc 0.1630 0.1630 0.5110
Sc 0.6366 0.6366 0.0903
Sc 0.3998 0.3998 0.8006
Th 0.9000 0.9000 0.3001
```

Summary:
SG   R32 (155)
Mass density   7.2 g/cm3
VASP energy   -52.21 eV for the cell shown
V   304.7 Å³ per cell
DFT formation energy   4.570 kcal/mol of atoms

=====

Q: Which formula does entry 2 have?
A: Ba2IrAu